(1)
{
  "formula": "Cu3SnF",
  "functional": "PBE-GGA",
  "state": "relaxed",
  "cell": [[-1.172, 2.128, 4.232], [-3.267, -3.520, 0.865], [3.430, -2.625, 2.270]],
  "species": ["Cu", "Cu", "Cu", "Sn", "F"],
  "frac_coords": [[0.000, 0.500, 0.000], [0.500, 0.000, 0.000], [0.000, 0.000, 0.500], [0.000, 0.000, 0.000], [0.500, 0.500, 0.500]],
  "space_group": "Pm-3m, No. 221",
  "de_polymorph_ev_per_atom": 0.590,
  "e_form_raw_ev_per_fu": 2.92,
  "magnetic_moment_mub_per_cell": 0.00
}


(2)
{
  "formula": "CuSn2F6",
  "functional": "PBE-GGA",
  "state": "relaxed",
  "cell": [[-4.925, 1.174, -0.347], [-2.263, -6.705, -3.106], [-1.629, -0.910, 7.500]],
  "species": ["F", "F", "F", "F", "F", "F", "F", "F", "F", "F", "F", "F", "Sn", "Sn", "Sn", "Sn", "Cu", "Cu"],
  "frac_coords": [[0.996, 0.534, 0.301], [0.135, 0.066, 0.657], [0.593, 0.945, 0.820], [0.907, 0.180, 0.055], [0.865, 0.934, 0.343], [0.004, 0.466, 0.699], [0.504, 0.699, 0.466], [0.365, 0.343, 0.934], [0.635, 0.657, 0.066], [0.496, 0.301, 0.534], [0.093, 0.820, 0.945], [0.407, 0.055, 0.180], [0.614, 0.455, 0.215], [0.386, 0.545, 0.785], [0.114, 0.215, 0.455], [0.886, 0.785, 0.545], [0.750, 0.922, 0.078], [0.250, 0.078, 0.922]],
  "space_group": "C2/c, No. 15",
  "e_form_raw_ev_per_fu": -17.85,
  "magnetic_moment_mub_per_cell": 2.06
}